(1)
{
  "formula": "PrNd3Sc3",
  "functional": "GGA-PBE",
  "state": "optimized geometry",
  "ef_ev_per_atom": 0.178,
  "magmom_total_mub_per_fu": 0.00,
  "energy_ev_per_cell": -73.66,
  "space_group": "R-3",
  "cell": [[4.2321, 2.4434, 7.1924], [-4.2321, 2.4434, 7.1924], [0.0000, -4.8869, 7.1924]],
  "species": ["Pr", "Pr", "Nd", "Nd", "Nd", "Nd", "Nd", "Nd", "Sc", "Sc", "Sc", "Sc", "Sc", "Sc"],
  "frac_coords": [[0.1553, 0.1553, 0.1553], [0.8447, 0.8447, 0.8447], [0.0678, 0.5731, 0.2159], [0.2159, 0.0678, 0.5731], [0.4269, 0.7841, 0.9322], [0.5731, 0.2159, 0.0678], [0.7841, 0.9322, 0.4269], [0.9322, 0.4269, 0.7841], [0.2257, 0.6657, 0.4396], [0.3343, 0.5604, 0.7743], [0.4396, 0.2257, 0.6657], [0.5604, 0.7743, 0.3343], [0.6657, 0.4396, 0.2257], [0.7743, 0.3343, 0.5604]]
}



(2)
{
  "formula": "Pr2NdSc2",
  "functional": "GGA-PBE",
  "state": "optimized geometry",
  "ef_ev_per_atom": 0.111,
  "magmom_total_mub_per_fu": 0.00,
  "energy_ev_per_cell": -52.87,
  "space_group": "C2/c",
  "polymorph_energy_ev_per_atom": 0.000,
  "cell": [[3.3063, -7.9051, 0.0000], [3.3063, 7.9051, 0.0000], [-3.0529, 0.0000, 5.8960]],
  "species": ["Pr", "Pr", "Pr", "Pr", "Nd", "Nd", "Sc", "Sc", "Sc", "Sc"],
  "frac_coords": [[0.1996, 0.2945, 0.0009], [0.2945, 0.1996, 0.5009], [0.7055, 0.8004, 0.4991], [0.8004, 0.7055, 0.9991], [0.3400, 0.6600, 0.7500], [0.6600, 0.3400, 0.2500], [0.1489, 0.8511, 0.7500], [0.2510, 0.7490, 0.2500], [0.7490, 0.2510, 0.7500], [0.8511, 0.1489, 0.2500]]
}



(3)
{
  "formula": "Pr4Nd8Sc",
  "functional": "GGA-PBE",
  "state": "optimized geometry",
  "ef_ev_per_atom": 0.396,
  "magmom_total_mub_per_fu": 0.00,
  "energy_ev_per_cell": -58.45,
  "space_group": "R-3m",
  "cell": [[5.9482, 3.4342, 3.8810], [-5.9482, 3.4342, 3.8810], [0.0000, -6.8684, 3.8810]],
  "species": ["Pr", "Pr", "Pr", "Pr", "Nd", "Nd", "Nd", "Nd", "Nd", "Nd", "Nd", "Nd", "Sc"],
  "frac_coords": [[0.0000, 0.0000, 0.0000], [0.0000, 0.5000, 0.5000], [0.5000, 0.0000, 0.5000], [0.5000, 0.5000, 0.0000], [0.1676, 0.1676, 0.6678], [0.1676, 0.6678, 0.1676], [0.2468, 0.2468, 0.2468], [0.3322, 0.8324, 0.8324], [0.6678, 0.1676, 0.1676], [0.7532, 0.7532, 0.7532], [0.8324, 0.3322, 0.8324], [0.8324, 0.8324, 0.3322], [0.5000, 0.5000, 0.5000]]
}



(4)
{
  "formula": "Pr2NdSc",
  "functional": "GGA-PBE",
  "state": "optimized geometry",
  "ef_ev_per_atom": 0.064,
  "magmom_total_mub_per_fu": 0.00,
  "energy_ev_per_cell": -20.40,
  "space_group": "R3m",
  "polymorph_energy_ev_per_atom": 0.026,
  "cell": [[1.8040, 1.0415, 11.6632], [-1.8040, 1.0415, 11.6632], [0.0000, -2.0830, 11.6632]],
  "species": ["Pr", "Pr", "Nd", "Sc"],
  "frac_coords": [[0.0000, 0.0000, 0.0000], [0.1757, 0.1757, 0.1757], [0.7556, 0.7556, 0.7556], [0.5878, 0.5878, 0.5878]]
}



(5)
{
  "formula": "Pr4Nd7Sc",
  "functional": "GGA-PBE",
  "state": "optimized geometry",
  "ef_ev_per_atom": 0.025,
  "magmom_total_mub_per_fu": 0.00,
  "energy_ev_per_cell": -58.52,
  "space_group": "P-1",
  "polymorph_energy_ev_per_atom": 0.000,
  "cell": [[6.3308, 0.0000, 0.0000], [-2.0824, 7.0110, 0.0000], [-1.0495, -2.2226, 9.3654]],
  "species": ["Pr", "Pr", "Pr", "Pr", "Nd", "Nd", "Nd", "Nd", "Nd", "Nd", "Nd", "Sc"],
  "frac_coords": [[0.0025, 0.0829, 0.3375], [0.4979, 0.8339, 0.8283], [0.5021, 0.1661, 0.1717], [0.9975, 0.9171, 0.6625], [0.0023, 0.2504, 0.0022], [0.0106, 0.5887, 0.3353], [0.4973, 0.3297, 0.8296], [0.5000, 0.5000, 0.5000], [0.5027, 0.6703, 0.1704], [0.9894, 0.4113, 0.6647], [0.9977, 0.7496, 0.9978], [0.5000, 0.0000, 0.5000]]
}



(6)
{
  "formula": "PrNdSc2Se4",
  "functional": "GGA-PBE",
  "state": "optimized geometry",
  "raw_formation_energy_kj_per_mol_fu": -1316,
  "magmom_total_mub_per_fu": 0.00,
  "energy_ev_per_cell": -49.79,
  "space_group": "P2/m",
  "cell": [[6.9383, 0.0000, 0.0000], [0.0000, 3.9839, 0.0000], [-2.2966, 0.0000, 6.8549]],
  "species": ["Pr", "Nd", "Sc", "Sc", "Se", "Se", "Se", "Se"],
  "frac_coords": [[0.0000, 0.0000, 0.0000], [0.5000, 0.5000, 0.0000], [0.0000, 0.5000, 0.5000], [0.5000, 0.0000, 0.5000], [0.2407, 0.0000, 0.7194], [0.2619, 0.5000, 0.2816], [0.7381, 0.5000, 0.7184], [0.7593, 0.0000, 0.2806]]
}



(7)
{
  "formula": "Pr4Nd3ScSe8",
  "functional": "GGA-PBE",
  "state": "optimized geometry",
  "raw_formation_energy_kj_per_mol_fu": -2760,
  "magmom_total_mub_per_fu": 0.00,
  "energy_ev_per_cell": -96.23,
  "space_group": "R-3m",
  "cell": [[4.2053, 2.4279, 6.9016], [-4.2053, 2.4279, 6.9016], [0.0000, -4.8559, 6.9016]],
  "species": ["Pr", "Pr", "Pr", "Pr", "Nd", "Nd", "Nd", "Sc", "Se", "Se", "Se", "Se", "Se", "Se", "Se", "Se"],
  "frac_coords": [[0.0000, 0.0000, 0.0000], [0.0000, 0.5000, 0.5000], [0.5000, 0.0000, 0.5000], [0.5000, 0.5000, 0.0000], [0.0000, 0.0000, 0.5000], [0.0000, 0.5000, 0.0000], [0.5000, 0.0000, 0.0000], [0.5000, 0.5000, 0.5000], [0.2490, 0.2490, 0.2490], [0.2596, 0.7385, 0.7385], [0.2615, 0.2615, 0.7404], [0.2615, 0.7404, 0.2615], [0.7385, 0.2596, 0.7385], [0.7385, 0.7385, 0.2596], [0.7404, 0.2615, 0.2615], [0.7510, 0.7510, 0.7510]]
}



(8)
{
  "formula": "Pr2NdScSe4",
  "functional": "GGA-PBE",
  "state": "optimized geometry",
  "raw_formation_energy_kj_per_mol_fu": -1351,
  "magmom_total_mub_per_fu": 0.00,
  "energy_ev_per_cell": -48.60,
  "space_group": "P2/m",
  "cell": [[7.2201, 0.0000, 0.0000], [0.0000, 4.1068, 0.0000], [-2.3424, 0.0000, 6.9102]],
  "species": ["Pr", "Pr", "Nd", "Sc", "Se", "Se", "Se", "Se"],
  "frac_coords": [[0.0000, 0.0000, 0.0000], [0.5000, 0.5000, 0.0000], [0.0000, 0.5000, 0.5000], [0.5000, 0.0000, 0.5000], [0.2593, 0.0000, 0.7367], [0.2711, 0.5000, 0.2729], [0.7289, 0.5000, 0.7271], [0.7407, 0.0000, 0.2633]]
}